Entry 1:
{
  "formula": "SmSnMo",
  "functional": "PBE",
  "state": "optimized geometry",
  "lattice_angstrom": [[7.087, 0.000, 0.000], [0.000, 7.087, 0.000], [0.000, 0.000, 7.087]],
  "species": ["Sm", "Sm", "Sm", "Sm", "Sn", "Sn", "Sn", "Sn", "Mo", "Mo", "Mo", "Mo"],
  "frac_coords": [[0.000, 0.000, 0.000], [0.000, 0.500, 0.500], [0.500, 0.000, 0.500], [0.500, 0.500, 0.000], [0.250, 0.250, 0.250], [0.250, 0.750, 0.750], [0.750, 0.250, 0.750], [0.750, 0.750, 0.250], [0.250, 0.250, 0.750], [0.250, 0.750, 0.250], [0.750, 0.250, 0.250], [0.750, 0.750, 0.750]],
  "spacegroup": "F-43m, No. 216"
}

Entry 2:
{
  "formula": "SrSmMo",
  "functional": "PBE",
  "state": "optimized geometry",
  "lattice_angstrom": [[7.361, 0.000, 0.000], [0.000, 7.361, 0.000], [0.000, 0.000, 7.361]],
  "species": ["Sr", "Sr", "Sr", "Sr", "Sm", "Sm", "Sm", "Sm", "Mo", "Mo", "Mo", "Mo"],
  "frac_coords": [[0.000, 0.000, 0.000], [0.000, 0.500, 0.500], [0.500, 0.000, 0.500], [0.500, 0.500, 0.000], [0.250, 0.250, 0.750], [0.250, 0.750, 0.250], [0.750, 0.250, 0.250], [0.750, 0.750, 0.750], [0.000, 0.000, 0.500], [0.000, 0.500, 0.000], [0.500, 0.000, 0.000], [0.500, 0.500, 0.500]],
  "spacegroup": "F-43m, No. 216"
}

no.,mass density (g/cm3),E (eV/atom),spin magnetization (μB per formula unit)
1,6.8,-5.5131,3.7
2,5.6,-4.2785,2.8